# 1
Compound: ErCoC2
Source: Alexandria
Functional: GGA-PBE
Structure: relaxed

Lattice parameters (Å, degrees): 3.5237 4.4950 5.9638 90.00 90.00 90.00
Space group Amm2 (No. 38)
Symmetry-distinct sites (fractional):
1 Er 0.0000 0.0000 0.0000
2 Co 0.5000 0.0000 0.3820
3 C 0.5000 0.1534 0.6940

The value obtained for the formation energy is -0.359 eV per atom. The value obtained for the total energy is -63.11 eV for the cell shown. The total magnetization comes out at 0.00 μB per cell.



# 2
Compound: Ca2Ac7La
Source: Alexandria
Functional: GGA-PBE
Structure: relaxed

Lattice parameters (Å, degrees): 7.4170 31.9235 3.8063 90.00 90.00 90.00
Space group Cmmm (No. 65)
Symmetry-distinct sites (fractional):
1 Ca 0.0000 0.2034 0.0000
2 Ac 0.0000 0.0000 0.0000
3 Ac 0.0000 0.3115 0.5000
4 Ac 0.2425 0.4018 0.0000
5 La 0.0000 0.5000 0.5000

The value obtained for the formation energy is 0.158 eV per atom. The value obtained for the total energy is -72.21 eV for the cell shown. The total magnetization comes out at 0.00 μB per cell.